Model one:
The following is a DFT calculation (GGA-PBEsol) of an optimized crystal structure of Li3Ti2P3O12.

The structure in POSCAR format:
```
Li3Ti2P3O12
1.0
-3.051 -7.711 1.332
3.117 -6.541 -4.249
5.154 -5.841 4.470
O P Li Ti
24 6 6 4
Direct
0.190 0.389 0.418
0.845 0.792 0.906
0.504 0.836 0.196
0.792 0.457 0.906
0.611 0.997 0.582
0.535 0.496 0.804
0.997 0.810 0.582
0.747 0.860 0.268
0.836 0.465 0.196
0.465 0.504 0.196
0.155 0.208 0.094
0.457 0.845 0.906
0.543 0.155 0.094
0.253 0.140 0.732
0.496 0.164 0.804
0.003 0.190 0.418
0.810 0.611 0.582
0.208 0.543 0.094
0.389 0.003 0.418
0.126 0.747 0.268
0.140 0.874 0.732
0.874 0.253 0.732
0.164 0.535 0.804
0.860 0.126 0.268
0.458 0.040 0.751
0.542 0.960 0.249
0.248 0.542 0.249
0.960 0.248 0.249
0.040 0.752 0.751
0.752 0.458 0.751
0.078 0.333 0.856
0.267 0.922 0.144
0.922 0.667 0.144
0.667 0.267 0.144
0.333 0.733 0.856
0.733 0.078 0.856
0.146 0.146 0.562
0.350 0.350 0.951
0.854 0.854 0.438
0.650 0.650 0.049
```

Calculated values
- Space-group type: R-3
- Fermi-level density of states: 24.1 states/eV/cell

Model two:
The following is a DFT calculation (GGA-PBEsol) of an optimized crystal structure of Li3Ti2P3O12.

The structure in POSCAR format:
```
Li3Ti2P3O12
1.0
10.189 0.000 0.000
-3.396 9.606 0.000
-3.396 -4.803 8.319
O Li P Ti
48 12 12 8
Direct
0.389 0.505 0.299
0.889 0.591 0.884
0.909 0.611 0.616
0.091 0.701 0.207
0.384 0.495 0.793
0.995 0.111 0.201
0.995 0.884 0.293
0.384 0.889 0.091
0.909 0.299 0.793
0.799 0.389 0.005
0.793 0.995 0.384
0.701 0.707 0.591
0.591 0.207 0.701
0.799 0.409 0.293
0.201 0.591 0.707
0.116 0.909 0.111
0.616 0.111 0.909
0.091 0.389 0.384
0.505 0.799 0.889
0.707 0.091 0.201
0.293 0.909 0.799
0.505 0.707 0.116
0.889 0.299 0.505
0.495 0.293 0.884
0.591 0.384 0.389
0.884 0.793 0.495
0.111 0.701 0.495
0.793 0.799 0.909
0.495 0.201 0.111
0.207 0.201 0.091
0.389 0.884 0.591
0.005 0.889 0.799
0.409 0.793 0.299
0.116 0.207 0.505
0.611 0.116 0.409
0.299 0.005 0.389
0.409 0.616 0.611
0.201 0.611 0.995
0.611 0.495 0.701
0.707 0.616 0.005
0.299 0.293 0.409
0.701 0.995 0.611
0.207 0.005 0.616
0.884 0.091 0.889
0.616 0.505 0.207
0.111 0.409 0.116
0.293 0.384 0.995
0.005 0.116 0.707
0.750 0.875 0.125
0.750 0.375 0.625
0.250 0.125 0.875
0.375 0.250 0.625
0.625 0.875 0.750
0.125 0.750 0.875
0.375 0.125 0.250
0.875 0.625 0.250
0.875 0.250 0.125
0.625 0.750 0.375
0.125 0.375 0.750
0.250 0.625 0.375
0.250 0.375 0.125
0.250 0.875 0.625
0.625 0.375 0.250
0.875 0.125 0.750
0.750 0.125 0.375
0.375 0.625 0.750
0.125 0.250 0.375
0.875 0.750 0.625
0.625 0.250 0.875
0.750 0.625 0.875
0.125 0.875 0.250
0.375 0.750 0.125
0.000 0.500 0.000
0.000 0.500 0.500
0.000 0.000 0.000
0.500 0.000 0.500
0.000 0.000 0.500
0.500 0.500 0.000
0.500 0.000 0.000
0.500 0.500 0.500
```

Calculated values
- Space-group type: Ia-3d
- Fermi-level density of states: 25.3 states/eV/cell

Tell me which of them is the least stable. Sure, it is model two.

Model one:
The following is a DFT calculation (GGA-PBEsol) of an optimized crystal structure of Li3Ti2P3O12.

The structure in POSCAR format:
```
Li3Ti2P3O12
1.0
-4.148 4.262 -5.873
-7.151 -3.075 -3.123
-7.680 4.011 2.417
P Ti O Li
6 4 24 6
Direct
0.041 0.456 0.752
0.464 0.750 0.746
0.247 0.961 0.250
0.542 0.252 0.251
0.960 0.543 0.246
0.750 0.037 0.755
0.144 0.146 0.564
0.848 0.855 0.437
0.644 0.655 0.048
0.348 0.349 0.953
0.541 0.210 0.098
0.804 0.988 0.591
0.844 0.460 0.903
0.166 0.497 0.803
0.534 0.163 0.810
0.613 0.801 0.568
0.828 0.506 0.198
0.010 0.602 0.576
0.125 0.852 0.284
0.194 0.011 0.413
0.005 0.396 0.416
0.154 0.532 0.093
0.140 0.249 0.738
0.385 0.204 0.420
0.256 0.874 0.733
0.865 0.750 0.260
0.501 0.469 0.202
0.748 0.129 0.269
0.793 0.846 0.911
0.464 0.837 0.196
0.203 0.151 0.093
0.497 0.534 0.807
0.874 0.142 0.728
0.485 0.798 0.882
0.667 0.923 0.143
0.732 0.332 0.856
0.921 0.272 0.141
0.081 0.732 0.866
0.233 0.565 0.354
0.331 0.070 0.863
```

Calculated values
- Space-group type: P1
- Fermi-level density of states: 22.8 states/eV/cell

Model two:
The following is a DFT calculation (GGA-PBEsol) of an optimized crystal structure of Li3Ti2P3O12.

The structure in POSCAR format:
```
Li3Ti2P3O12
1.0
-6.424 0.040 -5.513
-1.553 -7.273 -4.280
-1.976 0.365 8.343
O P Li Ti
24 6 6 4
Direct
0.446 0.196 0.119
0.359 0.721 0.962
0.314 0.610 0.485
0.814 0.515 0.390
0.924 0.222 0.893
0.076 0.778 0.107
0.402 0.259 0.434
0.641 0.279 0.038
0.054 0.119 0.196
0.859 0.038 0.279
0.186 0.485 0.610
0.787 0.029 0.564
0.213 0.971 0.436
0.946 0.881 0.804
0.902 0.566 0.741
0.686 0.390 0.515
0.554 0.804 0.881
0.287 0.436 0.971
0.713 0.564 0.029
0.141 0.962 0.721
0.098 0.434 0.259
0.598 0.741 0.566
0.424 0.107 0.778
0.576 0.893 0.222
0.451 0.255 0.977
0.549 0.745 0.023
0.049 0.977 0.255
0.250 0.455 0.455
0.951 0.023 0.745
0.750 0.545 0.545
0.194 0.567 0.191
0.806 0.433 0.809
0.306 0.191 0.567
0.694 0.809 0.433
0.250 0.144 0.144
0.750 0.856 0.856
0.140 0.644 0.862
0.360 0.862 0.644
0.640 0.138 0.356
0.860 0.356 0.138
```

Calculated values
- Space-group type: C2/c
- Fermi-level density of states: 20.0 states/eV/cell

Model three:
The following is a DFT calculation (GGA-PBEsol) of an optimized crystal structure of Li3Ti2P3O12.

The structure in POSCAR format:
```
Li3Ti2P3O12
1.0
-4.429 -6.928 1.703
0.809 -2.568 -8.343
10.805 -5.324 2.687
P O Li Ti
12 48 12 8
Direct
0.000 0.801 0.250
0.160 0.643 0.604
0.500 0.298 0.750
0.840 0.643 0.896
0.342 0.857 0.896
0.000 0.199 0.750
0.840 0.357 0.396
0.658 0.857 0.604
0.342 0.143 0.396
0.500 0.702 0.250
0.160 0.357 0.104
0.658 0.143 0.104
0.991 0.421 0.105
0.566 0.595 0.163
0.857 0.180 0.413
0.939 0.091 0.839
0.744 0.409 0.493
0.131 0.295 0.810
0.744 0.600 0.790
0.061 0.909 0.161
0.566 0.405 0.663
0.627 0.197 0.808
0.340 0.316 0.416
0.251 0.948 0.981
0.869 0.705 0.190
0.991 0.579 0.605
0.482 0.903 0.604
0.518 0.903 0.896
0.748 0.902 0.713
0.256 0.409 0.007
0.256 0.600 0.710
0.061 0.091 0.661
0.009 0.421 0.395
0.434 0.405 0.837
0.744 0.591 0.993
0.660 0.684 0.584
0.256 0.591 0.507
0.869 0.295 0.690
0.143 0.180 0.087
0.749 0.948 0.519
0.340 0.684 0.916
0.857 0.820 0.913
0.482 0.097 0.104
0.373 0.197 0.692
0.252 0.098 0.287
0.009 0.579 0.895
0.373 0.803 0.192
0.256 0.400 0.210
0.252 0.902 0.787
0.660 0.316 0.084
0.749 0.052 0.019
0.627 0.803 0.308
0.434 0.595 0.337
0.518 0.097 0.396
0.251 0.052 0.481
0.744 0.400 0.290
0.143 0.820 0.587
0.748 0.098 0.213
0.939 0.909 0.339
0.131 0.705 0.310
0.251 0.811 0.440
0.251 0.189 0.940
0.000 0.899 0.750
0.000 0.101 0.250
0.500 0.399 0.250
0.500 0.601 0.750
0.500 0.500 0.000
0.000 0.000 0.500
0.749 0.189 0.560
0.500 0.500 0.500
0.000 0.000 0.000
0.749 0.811 0.060
0.213 0.503 0.855
0.787 0.497 0.145
0.715 0.003 0.856
0.787 0.503 0.645
0.285 0.997 0.144
0.213 0.497 0.355
0.285 0.003 0.644
0.715 0.997 0.356
```

Calculated values
- Space-group type: P2/c
- Fermi-level density of states: 32.3 states/eV/cell

Tell me which of them is the least stable. Sure, it is model three.